{"formula": "BeW", "functional": "PBE", "state": "optimized geometry", "cell": [[2.622, 0.000, 0.000], [0.000, 5.568, 0.000], [-0.263, 0.000, 6.744]], "species": ["W", "W", "W", "W", "Be", "Be", "Be", "Be"], "frac_coords": [[0.579, 0.000, 0.799], [0.421, 0.000, 0.201], [0.579, 0.500, 0.299], [0.421, 0.500, 0.701], [0.000, 0.313, 0.000], [0.000, 0.687, 0.000], [0.000, 0.813, 0.500], [0.000, 0.187, 0.500]], "total_energy_ev_per_cell": -65.889, "rho_g_cm3": 13.0, "e_above_lowest_polymorph_ev_per_atom": 0.331, "m_tot_mub_per_atom": 0.0000, "sg": "C2/m (12)"}